Computed, not measured: a geometry-optimized ScAs3 structure at the GGA-PBE level of DFT.

Unit cell a=3.8416 b=5.5141 c=4.0302 alpha=90.00 beta=90.00 gamma=90.00
Last column: nearest neighbours and their distance in Å.
Element x y z (fractional)
Sc 0.0000 0.0000 0.0000  6 As 2.75-2.82
As 0.0000 0.5000 0.9275  2 As 2.54, 2 Sc 2.77
As 0.5000 0.0000 0.4877  4 Sc 2.75-2.82, 2 As 2.82
As 0.5000 0.5000 0.3381  4 As 2.54-2.82

Calculated values
DFT total energy (eV for the cell shown): -22.6
Energy relative to the elements (eV/f.u.): -2.33
Magnetic moment (μB/f.u.): 0.00
SG: No. 25